[1]
Entry from the Alexandria database: Mg2FeBr after structural relaxation (PBE).

Values from the calculation:
Volume in Å³/atom: 20.0
Spin magnetization in Bohr magnetons per cell: 5.41
Uncorrected energy in eV/cell: -23.96
Uncorrected formation energy in meV/atom: 337

The structure in CIF format:
```
data_Mg2FeBr
_symmetry_space_group_name_H-M 'I 4/m m m'
_symmetry_Int_Tables_number 139
_symmetry_space_group_name_Hall '-I 4 2'
_cell_length_a 4.204
_cell_length_b 4.204
_cell_length_c 9.038
_cell_angle_alpha 90.00
_cell_angle_beta 90.00
_cell_angle_gamma 90.00
loop_
_atom_site_label
_atom_site_type_symbol
_atom_site_fract_x
_atom_site_fract_y
_atom_site_fract_z
Mg1 Mg 0.000 0.500 0.250
Fe1 Fe 0.000 0.000 0.000
Br1 Br 0.000 0.000 0.500
```

=====

[2]
Entry from the Alexandria database: Tl2AgAs after structural relaxation (PBE).

Values from the calculation:
Energy of formation from the pure elements in eV/atom: 0.211
Volume in Å³/atom: 24.4
Spin magnetization in Bohr magnetons per cell: 0.00
Uncorrected energy in eV/cell: -22.78

The structure in CIF format:
```
data_Tl2AgAs
_symmetry_space_group_name_H-M 'C 1 2/m 1'
_symmetry_Int_Tables_number 12
_cell_length_a 6.456
_cell_length_b 9.118
_cell_length_c 3.318
_cell_angle_alpha 90.00
_cell_angle_beta 91.10
_cell_angle_gamma 90.00
loop_
_symmetry_equiv_pos_as_xyz
'x,y,z'
'-x,-y,-z'
'-x,y,-z'
'x,-y,z'
'x+1/2,y+1/2,z'
'-x+1/2,-y+1/2,-z'
'-x+1/2,y+1/2,-z'
'x+1/2,-y+1/2,z'
loop_
_atom_site_label
_atom_site_type_symbol
_atom_site_fract_x
_atom_site_fract_y
_atom_site_fract_z
Tl1 Tl 0.250 0.250 0.000
Ag1 Ag 0.000 0.000 0.500
As1 As 0.000 0.500 0.500
```